# 1
VASP calculation (GGA-PBE) on a relaxed structure of SiBPN4.

```
SiBPN4
1.0
4.270 0.000 0.000
-0.776 4.513 0.000
-1.390 -2.506 3.588
Si B P N
1 1 1 4
direct
0.000 0.000 0.000
0.720 0.542 0.231
0.983 0.289 0.699
0.337 0.262 0.963
0.723 0.889 0.557
0.891 0.617 0.992
0.946 0.335 0.365
```

Results
DOS(E_F)   0.000 states/eV/f.u.
Energy above the most stable polymorph in this dataset   298 meV per atom
SG   P1, No. 1
Formation energy (no corrections)   -531 meV per atom
Calculated total energy   -54.53 eV/f.u.


# 2
VASP calculation (GGA-PBE) on a relaxed structure of RuPtBr2.

```
RuPtBr2
1.0
4.465 -1.750 0.000
4.465 1.750 0.000
-1.844 0.000 6.694
Ru Pt Br
1 1 2
direct
0.000 0.000 0.000
0.313 0.313 0.095
0.469 0.469 0.740
0.651 0.651 0.261
```

Results
DOS(E_F)   4.185 states/eV/f.u.
Energy above the most stable polymorph in this dataset   220 meV per atom
SG   Cm, No. 8
Formation energy (no corrections)   376 meV per atom
Calculated total energy   -17.16 eV/f.u.


# 3
VASP calculation (GGA-PBE) on a relaxed structure of KSrSb2Te.

```
KSrSb2Te
1.0
6.146 0.000 0.000
0.000 6.146 0.000
0.000 0.000 6.197
K Sr Sb Te
1 1 2 1
direct
0.000 0.000 0.000
0.500 0.500 0.500
0.000 0.500 0.500
0.500 0.000 0.500
0.500 0.500 0.000
```

Results
DOS(E_F)   5.323 states/eV/f.u.
Energy above the most stable polymorph in this dataset   0 meV per atom
SG   P4/mmm, No. 123
Formation energy (no corrections)   17 meV per atom
Calculated total energy   -14.08 eV/f.u.


# 4
VASP calculation (GGA-PBE) on a relaxed structure of NbFe2Ir.

```
NbFe2Ir
1.0
3.816 0.000 0.000
0.000 3.816 0.000
0.000 0.000 3.793
Nb Fe Ir
1 2 1
direct
0.000 0.000 0.000
0.000 0.500 0.500
0.500 0.000 0.500
0.500 0.500 0.000
```

Results
DOS(E_F)   4.260 states/eV/f.u.
Energy of formation from the pure elements   -0.8 eV per formula unit
Energy above the most stable polymorph in this dataset   0 meV per atom
SG   P4/mmm, No. 123
Calculated total energy   -36.68 eV/f.u.


# 5
VASP calculation (GGA-PBE) on a relaxed structure of Ti2TlPdBr.

```
Ti2TlPdBr
1.0
4.621 0.000 0.000
0.000 4.621 0.000
0.000 0.000 5.609
Ti Tl Pd Br
2 1 1 1
direct
0.000 0.500 0.000
0.500 0.000 0.000
0.000 0.000 0.500
0.500 0.500 0.500
0.000 0.000 0.000
```

Results
DOS(E_F)   2.319 states/eV/f.u.
Energy above the most stable polymorph in this dataset   0 meV per atom
SG   P4/mmm, No. 123
Formation energy (no corrections)   720 meV per atom
Calculated total energy   -21.42 eV/f.u.


# 6
VASP calculation (GGA-PBE) on a relaxed structure of CrBS2.

```
CrBS2
1.0
1.928 1.113 5.994
-1.928 1.113 5.994
0.000 -2.226 5.994
Cr B S
1 1 2
direct
0.000 0.000 0.000
0.500 0.500 0.500
0.405 0.405 0.405
0.595 0.595 0.595
```

Results
DOS(E_F)   1.347 states/eV/f.u.
SG   R-3m, No. 166
Formation energy (no corrections)   40 meV per atom
Calculated total energy   -24.40 eV/f.u.